# VInPbO5

A geometry-optimized VInPbO5 structure (GGA+U, Alexandria).

## Properties
total energy: -103.9 eV/cell

extended XYZ file:
```
16
Lattice="3.6326 -4.9118 0.0000 3.6326 4.9118 0.0000 -3.0722 0.0000 6.8625" Properties=species:S:1:pos:R:3 pbc="T T T"
V 1.3284 3.1260 5.1469
V 2.8646 -3.1260 1.7156
In 3.6326 0.0000 0.0000
In 2.0965 0.0000 3.4313
Pb 2.8646 3.0579 1.7156
Pb 1.3284 -3.0579 5.1469
O 0.0475 0.7591 2.8329
O 0.1655 2.1104 6.0391
O -1.4886 -0.7591 6.2642
O 2.4914 2.1104 4.2548
O 2.8646 0.8221 1.7156
O 1.3284 -0.8221 5.1469
O 1.7016 -2.1104 2.6078
O 5.6816 0.7591 0.5984
O 4.0275 -2.1104 0.8235
O 4.1455 -0.7591 4.0297
```



# V2InPbO8

A geometry-optimized V2InPbO8 structure (GGA+U, Alexandria).

## Properties
total energy: -79.5 eV/cell

extended XYZ file:
```
12
Lattice="5.8167 0.0000 0.0000 -2.9083 5.0374 0.0000 0.0000 0.0000 6.5170" Properties=species:S:1:pos:R:3 pbc="T T T"
V 0.0000 3.3583 1.9247
V 2.9083 1.6791 4.5923
In 0.0000 0.0000 0.0000
Pb 0.0000 0.0000 3.2585
O -0.0053 1.6386 1.4314
O -1.4866 4.2227 1.4314
O 1.4164 0.8239 5.0855
O 0.0000 3.3583 3.5654
O 2.9083 1.6791 2.9516
O 1.4919 4.2135 1.4314
O 4.3949 0.8147 5.0855
O 2.9137 3.3988 5.0855
```



Q: What is the total energy in the second record?
A: -79.5 eV/cell